w:
## B3SeS (PBE)

Data for B3SeS after structural relaxation.

Geometry as POSCAR:
```
B3SeS
1.0
4.1537 0.0000 0.0000
0.0000 4.1537 0.0000
0.0000 0.0000 4.1537
Se B S
1 3 1
Direct
0.0000 0.0000 0.0000 Se
0.5000 0.0000 0.0000 B
0.0000 0.0000 0.5000 B
0.0000 0.5000 0.0000 B
0.5000 0.5000 0.5000 S
```


x:
## B3SeS (PBE)

Data for B3SeS after structural relaxation.

Geometry as POSCAR:
```
B3SeS
1.0
3.9051 0.0000 0.0000
0.0000 3.9051 0.0000
0.0000 0.0000 3.9051
B Se S
3 1 1
Direct
0.0000 0.0000 0.5000 B
0.5000 0.0000 0.0000 B
0.0000 0.5000 0.0000 B
0.5000 0.5000 0.5000 Se
0.0000 0.0000 0.0000 S
```


Least stable: w


w:
## BSe3S (PBE)

Data for BSe3S after structural relaxation.

Geometry as POSCAR:
```
BSe3S
1.0
-2.8797 -3.3752 0.4355
3.3525 -2.7154 1.1233
-0.5852 1.0531 4.2922
Se S B
3 1 1
Direct
0.5000 0.0000 0.0000 Se
0.0000 0.5000 0.0000 Se
0.0000 0.0000 0.5000 Se
0.5000 0.5000 0.5000 S
0.0000 0.0000 0.0000 B
```


x:
## BSe3S (PBE)

Data for BSe3S after structural relaxation.

Geometry as POSCAR:
```
BSe3S
1.0
4.8556 0.0000 0.0000
0.0000 4.8556 0.0000
0.0000 0.0000 4.8556
Se S B
3 1 1
Direct
0.0000 0.0000 0.5000 Se
0.0000 0.5000 0.0000 Se
0.5000 0.0000 0.0000 Se
0.0000 0.0000 0.0000 S
0.5000 0.5000 0.5000 B
```


Least stable: x


w:
## BSeS (PBE)

Data for BSeS after structural relaxation.

Geometry as POSCAR:
```
BSeS
1.0
-4.2408 3.6516 -3.0928
0.9422 -4.0898 -2.2617
-5.0882 -0.8218 4.5601
Se S B
2 2 2
Direct
0.1746 0.6286 0.1021 Se
0.8254 0.3714 0.8979 Se
0.7647 0.3270 0.4143 S
0.2353 0.6730 0.5857 S
0.0549 0.5398 0.3522 B
0.9451 0.4602 0.6478 B
```


x:
## BSeS (PBE)

Data for BSeS after structural relaxation.

Geometry as POSCAR:
```
BSeS
1.0
3.4028 0.0095 0.3614
-0.0956 4.9909 0.4345
0.7485 0.9864 6.5807
S Se B
2 2 2
Direct
0.7902 0.3777 0.2319 S
0.1326 0.7260 0.0344 S
0.1818 0.7451 0.4985 Se
0.5794 0.1682 0.7536 Se
0.6896 0.4905 0.4830 B
0.0676 0.8994 0.7669 B
```


Least stable: x


w:
## BSeS2 (PBE)

Data for BSeS2 after structural relaxation.

Geometry as POSCAR:
```
BSeS2
1.0
4.1155 -0.5208 -1.4696
1.7450 -4.0309 -0.2743
0.7150 -1.8248 -3.9404
B S Se
1 2 1
Direct
0.0000 0.0000 0.0000 B
0.2500 0.2500 0.2500 S
0.7500 0.7500 0.7500 S
0.5000 0.5000 0.5000 Se
```


x:
## BSeS2 (PBE)

Data for BSeS2 after structural relaxation.

Geometry as POSCAR:
```
BSeS2
1.0
1.8389 0.0000 7.2487
-0.9194 1.5925 7.2487
-0.9194 -1.5925 7.2487
S B Se
2 1 1
Direct
0.1138 0.1138 0.1138 S
0.8862 0.8862 0.8862 S
0.5000 0.5000 0.5000 B
0.0000 0.0000 0.0000 Se
```


y:
## BSeS2 (PBE)

Data for BSeS2 after structural relaxation.

Geometry as POSCAR:
```
BSeS2
1.0
-0.9533 -5.7764 0.1429
5.7716 -0.9450 0.3039
2.2244 -3.2336 4.1271
B Se S
2 2 4
Direct
0.2500 0.7500 0.5000 B
0.5000 0.5000 0.0000 B
0.7500 0.2500 0.5000 Se
0.0000 0.0000 0.0000 Se
0.3750 0.4787 0.7500 S
0.2287 0.6250 0.2500 S
0.5213 0.1250 0.2500 S
0.8750 0.7713 0.7500 S
```


Least stable: w


w:
## B2SeS (PBE)

Data for B2SeS after structural relaxation.

Geometry as POSCAR:
```
B2SeS
1.0
-3.6112 -1.7862 -3.3042
0.1190 -4.6357 2.3760
-4.4128 -2.0949 1.8470
Se B S
2 4 2
Direct
0.0000 0.0000 0.0000 Se
0.7500 0.2500 0.5000 Se
0.5927 0.1250 0.2500 B
0.1573 0.6250 0.2500 B
0.8750 0.8427 0.7500 B
0.3750 0.4073 0.7500 B
0.2500 0.7500 0.5000 S
0.5000 0.5000 0.0000 S
```


x:
## B2SeS (PBE)

Data for B2SeS after structural relaxation.

Geometry as POSCAR:
```
B2SeS
1.0
-2.8909 1.4307 2.5319
-1.4962 3.7816 -0.5247
-3.8364 0.5177 -1.3524
S Se B
1 1 2
Direct
0.0000 0.0000 0.0000 S
0.5000 0.5000 0.5000 Se
0.7500 0.7500 0.7500 B
0.2500 0.2500 0.2500 B
```


Least stable: x


w:
## SiBS (PBE)

Data for SiBS after structural relaxation.

Geometry as POSCAR:
```
SiBS
1.0
-2.5609 2.2374 -0.5113
-1.3381 -4.4955 -1.4055
-0.6428 -1.4378 8.2911
B S Si
2 2 2
Direct
0.1202 0.5904 0.6814 B
0.9060 0.2954 0.5460 B
0.6602 0.3470 0.0106 S
0.6747 0.9544 0.4226 S
0.0580 0.3072 0.8432 Si
0.7294 0.8116 0.6786 Si
```


x:
## SiBS (PBE)

Data for SiBS after structural relaxation.

Geometry as POSCAR:
```
SiBS
1.0
3.9461 -0.0004 -0.0004
0.9461 5.0571 -0.0009
0.5811 2.4547 5.3047
S Si B
2 2 2
Direct
0.0794 0.5150 0.7192 S
0.0518 0.2000 0.2532 S
0.5274 0.7835 0.0785 Si
0.0351 0.6004 0.3204 Si
0.4096 0.2304 0.9790 B
0.7142 0.4312 0.9787 B
```


Least stable: x


w:
## SiBS (PBE)

Data for SiBS after structural relaxation.

Geometry as POSCAR:
```
SiBS
1.0
3.2922 0.0000 0.0001
1.6462 4.6382 -0.0001
1.6113 0.5532 7.0480
Si B S
2 2 2
Direct
0.0096 0.7791 0.9418 Si
0.3693 0.2558 0.7416 Si
0.5622 0.8348 0.7776 B
0.1831 0.3579 0.0176 B
0.8001 0.5306 0.6022 S
0.7255 0.1652 0.1278 S
```


x:
## SiBS (PBE)

Data for SiBS after structural relaxation.

Geometry as POSCAR:
```
SiBS
1.0
3.0321 0.0000 0.0000
0.0000 3.4526 0.0000
-2.9432 0.0000 21.2088
B Si S
4 4 4
Direct
0.9341 0.0000 0.1825 B
0.9341 0.5000 0.6825 B
0.7962 0.0000 0.5405 B
0.7962 0.5000 0.0405 B
0.2366 0.0000 0.4791 Si
0.8417 0.0000 0.0873 Si
0.2366 0.5000 0.9791 Si
0.8417 0.5000 0.5873 Si
0.1734 0.5000 0.4140 S
0.4812 0.5000 0.7310 S
0.4812 0.0000 0.2310 S
0.1734 0.0000 0.9140 S
```


Least stable: x


w:
## SiBS2 (PBE)

Data for SiBS2 after structural relaxation.

Geometry as POSCAR:
```
SiBS2
1.0
5.7328 0.0000 0.0000
0.0000 5.7328 0.0000
2.8664 2.8664 3.9195
B Si S
2 2 4
Direct
0.2500 0.7500 0.5000 B
0.5000 0.5000 0.0000 B
0.7500 0.2500 0.5000 Si
0.0000 0.0000 0.0000 Si
0.8750 0.7780 0.7500 S
0.3750 0.4720 0.7500 S
0.5280 0.1250 0.2500 S
0.2220 0.6250 0.2500 S
```


x:
## SiBS2 (PBE)

Data for SiBS2 after structural relaxation.

Geometry as POSCAR:
```
SiBS2
1.0
3.8798 1.6182 5.2517
6.2231 0.8546 2.4074
4.5443 4.2167 2.6117
Si S B
1 2 1
Direct
0.5000 0.5000 0.5000 Si
0.0890 0.0890 0.0890 S
0.9110 0.9110 0.9110 S
0.0000 0.0000 0.0000 B
```


y:
## SiBS2 (PBE)

Data for SiBS2 after structural relaxation.

Geometry as POSCAR:
```
SiBS2
1.0
1.7639 0.0000 7.2749
-0.8820 1.5276 7.2749
-0.8820 -1.5276 7.2749
S B Si
2 1 1
Direct
0.1130 0.1130 0.1130 S
0.8870 0.8870 0.8870 S
0.5000 0.5000 0.5000 B
0.0000 0.0000 0.0000 Si
```


Least stable: y


w:
## Si2BS2 (PBE)

Data for Si2BS2 after structural relaxation.

Geometry as POSCAR:
```
Si2BS2
1.0
-1.4819 1.2430 -4.4423
3.8800 -2.1877 -1.9065
-0.4868 -3.2702 -3.3949
S B Si
2 1 2
Direct
0.2500 0.7500 0.5000 S
0.7500 0.2500 0.5000 S
0.0000 0.0000 0.0000 B
0.3053 0.3053 0.3894 Si
0.6947 0.6947 0.6106 Si
```


x:
## Si2BS2 (PBE)

Data for Si2BS2 after structural relaxation.

Geometry as POSCAR:
```
Si2BS2
1.0
-4.5828 -0.0229 -0.2020
0.0242 -4.5871 -0.0290
-2.4599 -2.3318 3.9846
S Si B
2 2 1
Direct
0.3216 0.3216 0.3568 S
0.6784 0.6784 0.6432 S
0.7500 0.2500 0.5000 Si
0.2500 0.7500 0.5000 Si
0.0000 0.0000 0.0000 B
```


y:
## Si2BS2 (PBE)

Data for Si2BS2 after structural relaxation.

Geometry as POSCAR:
```
Si2BS2
1.0
6.3236 0.0000 0.0000
0.0000 6.3236 0.0000
0.0000 0.0000 4.0153
Si S B
4 4 2
Direct
0.2343 0.2657 0.0000 Si
0.7343 0.2343 0.0000 Si
0.2657 0.7657 0.0000 Si
0.7657 0.7343 0.0000 Si
0.6639 0.8361 0.5000 S
0.1639 0.6639 0.5000 S
0.8361 0.3361 0.5000 S
0.3361 0.1639 0.5000 S
0.5000 0.5000 0.0000 B
0.0000 0.0000 0.0000 B
```


Least stable: x


w:
## Si3BS (PBE)

Data for Si3BS after structural relaxation.

Geometry as POSCAR:
```
Si3BS
1.0
4.5082 0.0000 0.0000
0.0000 4.5082 0.0000
0.0000 0.0000 4.5082
Si B S
3 1 1
Direct
0.0000 0.0000 0.5000 Si
0.0000 0.5000 0.0000 Si
0.5000 0.0000 0.0000 Si
0.5000 0.5000 0.5000 B
0.0000 0.0000 0.0000 S
```


x:
## Si3BS (PBE)

Data for Si3BS after structural relaxation.

Geometry as POSCAR:
```
Si3BS
1.0
4.2002 0.0000 0.0000
0.0000 4.2002 0.0000
0.0000 0.0000 4.2002
Si B S
3 1 1
Direct
0.5000 0.0000 0.0000 Si
0.0000 0.5000 0.0000 Si
0.0000 0.0000 0.5000 Si
0.0000 0.0000 0.0000 B
0.5000 0.5000 0.5000 S
```


Least stable: w


w:
## Si2BS (PBE)

Data for Si2BS after structural relaxation.

Geometry as POSCAR:
```
Si2BS
1.0
-1.9517 2.1624 2.9595
-3.9585 1.1379 -0.5286
-2.9942 -1.7940 2.2495
B Si S
1 2 1
Direct
0.0000 0.0000 0.0000 B
0.7500 0.7500 0.7500 Si
0.2500 0.2500 0.2500 Si
0.5000 0.5000 0.5000 S
```


x:
## Si2BS (PBE)

Data for Si2BS after structural relaxation.

Geometry as POSCAR:
```
Si2BS
1.0
-1.6270 0.5374 -4.7315
2.1332 -4.3881 -1.2319
-3.8541 -4.2445 -1.8328
Si S B
4 2 2
Direct
0.5542 0.1250 0.2500 Si
0.3750 0.4458 0.7500 Si
0.8750 0.8042 0.7500 Si
0.1958 0.6250 0.2500 Si
0.0000 0.0000 0.0000 S
0.7500 0.2500 0.5000 S
0.2500 0.7500 0.5000 B
0.5000 0.5000 0.0000 B
```


Least stable: w


w:
## SnB2S (PBE)

Data for SnB2S after structural relaxation.

Geometry as POSCAR:
```
SnB2S
1.0
4.9386 0.0000 0.0000
0.0000 4.9386 0.0000
2.4693 2.4693 4.7329
B Sn S
4 2 2
Direct
0.3750 0.4299 0.7500 B
0.5701 0.1250 0.2500 B
0.1799 0.6250 0.2500 B
0.8750 0.8201 0.7500 B
0.7500 0.2500 0.5000 Sn
0.0000 0.0000 0.0000 Sn
0.2500 0.7500 0.5000 S
0.5000 0.5000 0.0000 S
```


x:
## SnB2S (PBE)

Data for SnB2S after structural relaxation.

Geometry as POSCAR:
```
SnB2S
1.0
1.8076 -3.5407 -1.6796
-1.1257 -3.9000 1.4656
-2.3374 -2.6459 -2.4821
S B Sn
1 2 1
Direct
0.0000 0.0000 0.0000 S
0.7500 0.7500 0.7500 B
0.2500 0.2500 0.2500 B
0.5000 0.5000 0.5000 Sn
```


Least stable: x